Here is an optimized crystal structure of Pr5HgBi5 from the Alexandria database. Energies are from GGA-PBE.

a b c (Å): 14.1040 6.5011 9.5271
angles (deg): 90.00 109.43 90.00
With the nearest neighbours (Å) after each atom.
Space group C2/m (No. 12)
Inequivalent atoms, fractional coordinates:
1 Pr 0.0000 0.0000 0.0000 (multiplicity 2)  4 Bi 3.21-3.24, 2 Hg 3.25
2 Pr 0.1735 0.5000 0.3459 (multiplicity 4)  5 Bi 3.20-3.26, 1 Hg 3.39
3 Pr 0.1763 0.5000 0.8270 (multiplicity 4)  5 Bi 3.26-3.32, 1 Hg 3.41
4 Hg 0.0000 0.5000 0.0000 (multiplicity 2)  6 Pr 3.25-3.41
5 Bi 0.0000 0.5000 0.5000 (multiplicity 2)  4 Pr 3.24-3.28
6 Bi 0.1529 0.0000 0.3354 (multiplicity 4)  5 Pr 3.20-3.27
7 Bi 0.1630 0.0000 0.8271 (multiplicity 4)  5 Pr 3.24-3.32

The value obtained for the size of the total moment is 0.0000 μB per atom. The formation energy comes out at -0.557 eV/atom. Its volume is 37.446 Å³/atom.